# 1
A plane-wave DFT calculation with SCAN was carried out for a crystal of Zn4CoSe5 relaxed with PBEsol.

Summary:
Raw formation energy: -0.67 eV/atom

POSCAR file:
```
Zn4CoSe5
1.0
6.552 -1.972 0.000
6.552 1.972 0.000
-4.772 0.000 8.434
Zn Co Se
4 1 5
direct
0.000 0.000 0.000
0.200 0.200 0.803
0.396 0.396 0.593
0.595 0.595 0.395
0.800 0.800 0.200
0.197 0.197 0.549
0.392 0.392 0.338
0.605 0.605 0.150
0.800 0.800 0.958
0.998 0.998 0.747
```

# 2
A plane-wave DFT calculation with SCAN was carried out for a crystal of KVCl3 relaxed with PBEsol.

Summary:
Raw formation energy: -1.83 eV/atom

POSCAR file:
```
KVCl3
1.0
6.874 0.000 0.000
-3.437 5.953 0.000
0.000 0.000 5.635
K V Cl
2 2 6
direct
0.333 0.667 0.250
0.667 0.333 0.750
0.000 0.000 0.000
0.000 0.000 0.500
0.164 0.328 0.750
0.164 0.836 0.750
0.328 0.164 0.250
0.672 0.836 0.750
0.836 0.164 0.250
0.836 0.672 0.250
```

# 3
A plane-wave DFT calculation with SCAN was carried out for a crystal of Y2AgP relaxed with PBEsol.

Summary:
Energy of formation from the pure elements: -0.689 eV per atom

POSCAR file:
```
Y2AgP
1.0
-2.394 2.394 3.668
2.394 -2.394 3.668
2.394 2.394 -3.668
Y Ag P
2 1 1
direct
0.250 0.750 0.500
0.750 0.250 0.500
0.000 0.000 0.000
0.500 0.500 0.000
```